Ba2AgTeP: optimized geometry, PBE.

Values from the calculation:
The density of states at the Fermi level comes out at 0.115 states/eV/atom. For the total energy, the calculation gives -20.1 eV/cell. The calculation puts the uncorrected formation energy at -0.9732 eV per atom. The space group is No. 123.

a = 6.2531 Å, b = 6.2531 Å, c = 4.7068 Å
α = 90.00°, β = 90.00°, γ = 90.00°
Last column: nearest neighbours and their distance in Å.
Sites, in units of the cell vectors:
1 P 0.0000 0.0000 0.0000  2 Ag 2.35
2 Te 0.5000 0.5000 0.5000  8 Ba 3.91
3 Ba 0.0000 0.5000 0.0000  2 P 3.13
4 Ba 0.5000 0.0000 0.0000  2 P 3.13
5 Ag 0.0000 0.0000 0.5000  2 P 2.35



LiCeSmZn: optimized geometry, PBE.

Values from the calculation:
The density of states at the Fermi level comes out at 2.141 states/eV/atom. Its formation energy is -0.015 eV/atom. For the total energy, the calculation gives -13.9 eV/cell. The space group is No. 216.

a = 5.1891 Å, b = 5.1891 Å, c = 5.1891 Å
α = 60.00°, β = 60.00°, γ = 60.00°
Last column: nearest neighbours and their distance in Å.
Sites, in units of the cell vectors:
1 Zn 0.0000 0.0000 0.0000  4 Sm 3.18, 4 Ce 3.18
2 Ce 0.7500 0.7500 0.7500  4 Li 3.18, 4 Zn 3.18
3 Sm 0.2500 0.2500 0.2500  4 Li 3.18, 4 Zn 3.18
4 Li 0.5000 0.5000 0.5000  4 Ce 3.18, 4 Sm 3.18



LiZnRu: optimized geometry, PBE.

Values from the calculation:
The density of states at the Fermi level comes out at 0.729 states/eV/atom. Its formation energy is 0.084 eV/atom. For the total energy, the calculation gives -12.2 eV/cell. Its energy above the most stable polymorph in this dataset is 102.7 meV per atom. The space group is No. 42.

a = 7.1553 Å, b = 6.9387 Å, c = 2.6373 Å
α = 83.88°, β = 74.62°, γ = 21.50°
Last column: nearest neighbours and their distance in Å.
Sites, in units of the cell vectors:
1 Li 0.9973 0.9973 0.0027  2 Ru 2.62, 6 Li 2.64-2.79, 2 Zn 2.71
2 Ru 0.3342 0.3342 0.6658  2 Li 2.62, 6 Ru 2.64-2.79, 2 Zn 2.65
3 Zn 0.6685 0.6685 0.3315  6 Zn 2.64-2.79, 2 Ru 2.65, 2 Li 2.71



Cr2FeP: optimized geometry, PBE.

Values from the calculation:
The density of states at the Fermi level comes out at 1.099 states/eV/atom. Its formation energy is -0.085 eV/atom. For the total energy, the calculation gives -33.5 eV/cell. The space group is No. 123.

a = 3.9438 Å, b = 3.3363 Å, c = 3.3363 Å
α = 90.00°, β = 90.00°, γ = 90.00°
Last column: nearest neighbours and their distance in Å.
Sites, in units of the cell vectors:
1 Cr 0.0000 0.0000 0.0000  4 Cr 2.36, 4 P 2.58, 4 Fe 2.58
2 Cr 0.0000 0.5000 0.5000  4 Cr 2.36, 4 Fe 2.58, 4 P 2.58
3 Fe 0.5000 0.5000 0.0000  4 P 2.36, 8 Cr 2.58
4 P 0.5000 0.0000 0.5000  4 Fe 2.36, 8 Cr 2.58



Sr2Li2Tl5Ag: optimized geometry, PBE.

Values from the calculation:
The density of states at the Fermi level comes out at 0.386 states/eV/atom. Its formation energy is -0.218 eV/atom. For the total energy, the calculation gives -48.1 eV/cell. The space group is No. 127.

a = 3.9099 Å, b = 11.6437 Å, c = 11.6437 Å
α = 90.00°, β = 90.00°, γ = 90.00°
Last column: nearest neighbours and their distance in Å.
Sites, in units of the cell vectors:
1 Sr 0.0000 0.6778 0.1778  3 Li 3.30-3.55, 10 Tl 3.52-3.68
2 Sr 0.0000 0.3222 0.8222  3 Li 3.30-3.55, 10 Tl 3.52-3.68
3 Sr 0.0000 0.1778 0.3222  3 Li 3.30-3.55, 10 Tl 3.52-3.68
4 Sr 0.0000 0.8222 0.6778  3 Li 3.30-3.55, 10 Tl 3.52-3.68
5 Li 0.0000 0.1219 0.6219  6 Tl 2.80-2.98
6 Li 0.0000 0.8781 0.3781  6 Tl 2.80-2.98
7 Li 0.0000 0.6219 0.8781  6 Tl 2.80-2.98
8 Li 0.0000 0.3781 0.1219  6 Tl 2.80-2.98
9 Tl 0.5000 0.1962 0.0582  2 Li 2.98, 2 Ag 3.08
10 Tl 0.5000 0.8038 0.9418  2 Li 2.98, 2 Ag 3.08
11 Tl 0.5000 0.0582 0.8038  2 Li 2.98, 2 Ag 3.08
12 Tl 0.5000 0.6962 0.4418  2 Li 2.98, 2 Ag 3.08
13 Tl 0.5000 0.9418 0.1962  2 Li 2.98, 2 Ag 3.08
14 Tl 0.5000 0.3038 0.5582  2 Li 2.98, 2 Ag 3.08
15 Tl 0.5000 0.5582 0.6962  2 Li 2.98, 2 Ag 3.08
16 Tl 0.5000 0.4418 0.3038  2 Li 2.98, 2 Ag 3.08
17 Tl 0.5000 0.5000 0.0000  4 Li 2.80
18 Tl 0.5000 0.0000 0.5000  4 Li 2.80
19 Ag 0.0000 0.0000 0.0000  8 Tl 3.08
20 Ag 0.0000 0.5000 0.5000  8 Tl 3.08



CrPbS2: optimized geometry, PBE.

Values from the calculation:
The density of states at the Fermi level comes out at 0.378 states/eV/atom. For the total energy, the calculation gives -46.1 eV/cell. The calculation puts the uncorrected formation energy at -0.3636 eV per atom. The space group is No. 9.

a = 14.9996 Å, b = 6.2563 Å, c = 6.2563 Å
α = 94.71°, β = 133.78°, γ = 46.22°
Last column: nearest neighbours and their distance in Å.
Sites, in units of the cell vectors:
1 Pb 0.2689 0.0521 0.3660  4 S 2.84-3.13
2 Pb 0.7689 0.1340 0.4479  4 S 2.84-3.13
3 Cr 0.2345 0.6153 0.6316  4 S 2.27-2.31
4 Cr 0.7345 0.8684 0.8847  4 S 2.27-2.31
5 S 0.0990 0.5073 0.5398  2 Cr 2.27-2.28
6 S 0.5990 0.9602 0.9927  2 Cr 2.27-2.28
7 S 0.4148 0.5221 0.2086  2 Cr 2.29-2.31
8 S 0.9148 0.2914 0.9779  2 Cr 2.29-2.31